Compound: BaCu3Si2
Source: Alexandria
Functional: PBE-GGA
Structure: relaxed

Output
* energy relative to the elements, uncorrected: -0.213 eV per atom
* E: -52.67 eV for the cell shown

a b c (Å): 8.019 8.019 7.380
angles (deg): 111.15 111.15 29.62
Fractional positions:
Ba 0.160 0.160 0.075
Ba 0.840 0.840 0.925
Cu 0.024 0.024 0.352
Cu 0.315 0.315 0.557
Cu 0.415 0.415 0.355
Cu 0.585 0.585 0.645
Cu 0.685 0.685 0.443
Cu 0.976 0.976 0.648
Si 0.172 0.172 0.620
Si 0.479 0.479 0.816
Si 0.521 0.521 0.184
Si 0.828 0.828 0.380